No. 1
DFT (PBE) results for a geometry-optimized Mn2Fe structure.

Its energy relative to the elements is 0.262 eV per atom. As for the total moment: 4.01 Bohr magnetons per cell.

abc: 2.454 2.454 22.254
angles: 90.00 90.00 90.00
Space group I4_1/amd (No. 141, origin choice 2)
One atom of each set of equivalent atoms:
Mn  0.000  0.250  0.296 x8
Fe  0.000  0.250  0.875 x4

No. 2
DFT (PBE) results for a geometry-optimized Mn3Fe2 structure.

Its energy relative to the elements is 0.117 eV per atom. As for the total moment: 0.02 Bohr magnetons per cell.

abc: 2.438 3.855 11.341
angles: 90.00 96.17 90.00
Space group P2_1/m (No. 11)
One atom of each set of equivalent atoms:
Mn  0.025  0.250  0.050 x2
Mn  0.125  0.250  0.250 x2
Mn  0.175  0.750  0.349 x2
Fe  0.277  0.750  0.555 x2
Fe  0.425  0.250  0.850 x2

No. 3
DFT (PBE) results for a geometry-optimized Mn3Fe2 structure.

Its energy relative to the elements is 0.481 eV per atom. As for the total moment: 7.20 Bohr magnetons per cell.

abc: 3.9097 3.9097 4.7908
angles: 90.00 90.00 120.00
Space group P-3m1 (No. 164)
One atom of each set of equivalent atoms:
Mn  0.0000  0.0000  0.0000 x1
Mn  0.3333  0.6667  0.3585 x2
Fe  0.3333  0.6667  0.8511 x2

No. 4
DFT (PBE) results for a geometry-optimized Mn3Fe structure.

Its energy relative to the elements is 0.034 eV per atom. As for the total moment: 0.01 Bohr magnetons per cell.

abc: 2.525 3.506 5.041
angles: 90.00 90.00 90.00
Space group Pmmm (No. 47)
One atom of each set of equivalent atoms:
Mn  0.000  0.000  0.000 x1
Mn  0.500  0.500  0.252 x2
Fe  0.000  0.000  0.500 x1

No. 5
DFT (PBE) results for a geometry-optimized Mn7Fe5 structure.

Its energy relative to the elements is 0.110 eV per atom. As for the total moment: 6.71 Bohr magnetons per cell.

abc: 2.448 6.797 8.114
angles: 75.79 89.98 88.56
Space group P-1 (No. 2)
One atom of each set of equivalent atoms:
Mn  0.000  0.000  0.000 x1
Mn  0.030  0.408  0.230 x2
Mn  0.049  0.262  0.739 x2
Mn  0.481  0.069  0.242 x2
Fe  0.192  0.832  0.510 x2
Fe  0.491  0.671  0.018 x2
Fe  0.500  0.500  0.500 x1

No. 6
DFT (PBE) results for a geometry-optimized Mn3Fe5 structure.

Its energy relative to the elements is 0.044 eV per atom. As for the total moment: 0.03 Bohr magnetons per cell.

abc: 2.463 3.953 8.630
angles: 90.00 90.00 90.00
Space group Pmm2 (No. 25)
One atom of each set of equivalent atoms:
Mn  0.000  0.000  0.000 x1
Mn  0.000  0.500  0.164 x1
Mn  0.500  0.000  0.252 x1
Fe  0.000  0.000  0.499 x1
Fe  0.000  0.500  0.665 x1
Fe  0.500  0.000  0.749 x1
Fe  0.500  0.500  0.416 x1
Fe  0.500  0.500  0.915 x1

no.,total DFT energy (no corrections) (eV/cell)
1,-104.065
2,-87.701
3,-42.031
4,-35.835
5,-105.181
6,-69.473